## Be2BrClF (PBE)

Data for a relaxed Be2BrClF crystal.

ΔE_f (raw): 0.722 eV per atom

a b c (Å): 4.102 6.197 4.102
angles (deg): 90.00 90.00 90.00
Last column: magnetic moment on the atom in μB.
Atoms (fractional coordinates):
Be1 0.000 0.000 0.500  0.00
Be2 0.500 0.000 0.000  0.00
F1 0.500 0.500 0.500  -0.41
Br1 0.000 0.500 0.000  -0.46
Cl1 0.000 0.000 0.000  0.00

## KRb4Sn3Cl12 (PBE)

Data for a relaxed KRb4Sn3Cl12 crystal.

ΔE_f (raw): -1.454 eV per atom

a b c (Å): 9.662 9.662 9.662
angles (deg): 109.47 109.47 109.47
Atoms (fractional coordinates):
K1 0.000 0.000 0.000
Rb1 0.500 0.500 0.500
Rb2 0.000 0.000 0.500
Rb3 0.500 0.000 0.000
Rb4 0.000 0.500 0.000
Sn1 0.500 0.000 0.500
Sn2 0.500 0.500 0.000
Sn3 0.000 0.500 0.500
Cl1 0.250 0.500 0.750
Cl2 0.738 0.000 0.738
Cl3 0.262 0.000 0.262
Cl4 0.750 0.500 0.250
Cl5 0.738 0.738 0.000
Cl6 0.262 0.262 0.000
Cl7 0.750 0.250 0.500
Cl8 0.250 0.750 0.500
Cl9 0.500 0.250 0.750
Cl10 0.000 0.738 0.738
Cl11 0.500 0.750 0.250
Cl12 0.000 0.262 0.262